4
Lattice="5.0053 0.0000 0.0000 0.0000 5.0053 0.0000 0.0000 0.0000 3.8140" Properties=species:S:1:pos:R:3 comment="Ca2RhN, relaxed, DFT GGA-PBE" magnetic_moment_mub_per_cell=0.0 formation_energy_uncorrected_ev_per_fu=-2.1 pbc="T T T"
Ca 0.0000 2.5027 0.0000
Ca 2.5027 0.0000 0.0000
Rh 0.0000 0.0000 1.9070
N 0.0000 0.0000 0.0000